(1)
{"formula": "LiBe2P", "functional": "PBE", "state": "optimized geometry", "lattice_angstrom": [[2.4658, 0.0000, 0.0000], [0.0000, 2.4658, 0.0000], [0.0000, 0.0000, 7.4344]], "species": ["Be", "Be", "P", "Li"], "fractional_positions": [[0.0000, 0.0000, 0.0332], [0.5000, 0.5000, 0.2190], [0.5000, 0.5000, 0.7572], [0.0000, 0.0000, 0.4906]], "ef_ev_per_fu": 0.81}

---

(2)
{"formula": "Li2BeP", "functional": "PBE", "state": "optimized geometry", "lattice_angstrom": [[-1.4702, -3.9470, 0.9447], [1.0591, -4.0908, 0.8816], [0.1502, 0.4897, 4.9037]], "species": ["P", "Li", "Li", "Be"], "fractional_positions": [[0.7500, 0.7500, 0.7500], [0.0087, 0.0087, 0.9862], [0.4913, 0.4913, 0.5138], [0.2500, 0.2500, 0.2500]], "ef_ev_per_fu": 0.29}

---

(3)
{"formula": "LiBe2P2", "functional": "PBE", "state": "optimized geometry", "lattice_angstrom": [[3.5021, 0.0000, 0.0000], [0.0000, 3.5021, 0.0000], [1.7511, 1.7511, 5.8082]], "species": ["P", "P", "Be", "Be", "Li"], "fractional_positions": [[0.3630, 0.3630, 0.2739], [0.6370, 0.6370, 0.7261], [0.7500, 0.2500, 0.5000], [0.2500, 0.7500, 0.5000], [0.0000, 0.0000, 0.0000]], "relative_energy_mev_per_atom": 16, "ef_ev_per_fu": -1.47}

---

(4)
{"formula": "Li2BeP", "functional": "PBE", "state": "optimized geometry", "lattice_angstrom": [[3.6827, -0.0260, 0.0109], [1.8681, 3.1739, 0.0109], [1.8274, 1.0363, 4.8150]], "species": ["Li", "Li", "P", "Be"], "fractional_positions": [[0.7704, 0.7704, 0.6909], [0.9778, 0.9778, 0.0651], [0.5524, 0.5524, 0.3424], [0.1993, 0.1993, 0.4017]], "ef_ev_per_fu": -1.41}

---

(5)
{"formula": "LiBe2P", "functional": "PBE", "state": "optimized geometry", "lattice_angstrom": [[-1.2282, 2.2197, -5.1872], [-2.6007, -10.1272, -3.7179], [-2.5171, -0.6715, 3.5897]], "species": ["Be", "Be", "Be", "Be", "Be", "Be", "Be", "Be", "Li", "Li", "Li", "Li", "P", "P", "P", "P"], "fractional_positions": [[0.5748, 0.9880, 0.7948], [0.5748, 0.4880, 0.2948], [0.9252, 0.4880, 0.2052], [0.9252, 0.9880, 0.7052], [0.4252, 0.0120, 0.2052], [0.4252, 0.5120, 0.7052], [0.0748, 0.0120, 0.2948], [0.0748, 0.5120, 0.7948], [0.7500, 0.7476, 0.2500], [0.2500, 0.2524, 0.7500], [0.7500, 0.2476, 0.7500], [0.2500, 0.7524, 0.2500], [0.7500, 0.1292, 0.2500], [0.2500, 0.8708, 0.7500], [0.7500, 0.6292, 0.7500], [0.2500, 0.3708, 0.2500]], "ef_ev_per_fu": -0.88}

---

(6)
{"formula": "Li2BeP", "functional": "PBE", "state": "optimized geometry", "lattice_angstrom": [[3.1295, -0.0273, 0.0000], [-0.8027, 3.0249, 0.0000], [0.0000, 0.0000, 6.1742]], "species": ["Li", "Li", "P", "Be"], "fractional_positions": [[0.0000, 0.0000, 0.9557], [0.5000, 0.5000, 0.2866], [0.0000, 0.0000, 0.5496], [0.5000, 0.5000, 0.7081]], "ef_ev_per_fu": -0.21}

---

(7)
{"formula": "LiBe2P", "functional": "PBE", "state": "optimized geometry", "lattice_angstrom": [[4.1776, 0.0093, 0.0330], [-2.1283, 4.6715, -0.1179], [-0.0791, 0.6349, 2.2534]], "species": ["Be", "Be", "P", "Li"], "fractional_positions": [[0.0000, 0.0000, 0.0000], [0.5000, 0.0000, 0.5000], [0.5000, 0.5000, 0.0000], [0.0000, 0.5000, 0.5000]], "ef_ev_per_fu": 0.52}

---

(8)
{"formula": "Li2BeP", "functional": "PBE", "state": "optimized geometry", "lattice_angstrom": [[-2.2065, 2.1377, 3.4897], [-4.2185, 1.3394, -1.4238], [2.3452, -4.0134, 0.0984]], "species": ["Be", "Li", "Li", "P"], "fractional_positions": [[0.3038, 0.8038, 0.5000], [0.7357, 0.2357, 0.5000], [0.0131, 0.0131, 0.0000], [0.4473, 0.4473, 0.0000]], "ef_ev_per_fu": -1.00}

---

(9)
{"formula": "Li2BeP", "functional": "PBE", "state": "optimized geometry", "lattice_angstrom": [[3.8543, 0.0000, 0.0000], [0.0000, 3.4684, 0.0000], [0.0000, 0.0000, 3.4684]], "species": ["Be", "Li", "Li", "P"], "fractional_positions": [[0.5000, 0.0000, 0.5000], [0.0000, 0.5000, 0.5000], [0.0000, 0.0000, 0.0000], [0.5000, 0.5000, 0.0000]], "ef_ev_per_fu": -0.98}

---

(10)
{"formula": "Li2BeP", "functional": "PBE", "state": "optimized geometry", "lattice_angstrom": [[3.4648, 0.0000, 0.0000], [0.0000, 3.4648, 0.0000], [1.7324, 1.7324, 8.6491]], "species": ["Be", "Be", "P", "P", "Li", "Li", "Li", "Li"], "fractional_positions": [[0.5000, 0.5000, 0.0000], [0.2500, 0.7500, 0.5000], [0.7500, 0.2500, 0.5000], [0.0000, 0.0000, 0.0000], [0.6415, 0.1250, 0.2500], [0.1085, 0.6250, 0.2500], [0.3750, 0.3585, 0.7500], [0.8750, 0.8915, 0.7500]], "ef_ev_per_fu": 0.25}

---

(11)
{"formula": "LiBe2P", "functional": "PBE", "state": "optimized geometry", "lattice_angstrom": [[3.4733, 0.0000, 0.0000], [0.0000, 3.4733, 0.0000], [0.0000, 0.0000, 3.4086]], "species": ["Li", "P", "Be", "Be"], "fractional_positions": [[0.5000, 0.0000, 0.5000], [0.0000, 0.5000, 0.5000], [0.0000, 0.0000, 0.0000], [0.5000, 0.5000, 0.0000]], "ef_ev_per_fu": -0.03}

---

(12)
{"formula": "LiBe2P", "functional": "PBE", "state": "optimized geometry", "lattice_angstrom": [[-1.0847, 3.4739, 6.9457], [-2.6984, 1.3728, 7.2334], [-0.0965, 1.1362, 7.7581]], "species": ["Be", "Be", "Li", "P"], "fractional_positions": [[0.0077, 0.0077, 0.0077], [0.4923, 0.4923, 0.4923], [0.2500, 0.2500, 0.2500], [0.7500, 0.7500, 0.7500]], "ef_ev_per_fu": 1.55}

---

Spin magnetization readings, ordered: 0.00, 0.00, 0.00, 0.00, 0.00, 0.00, 0.00, 0.00, 0.00, 0.00, 0.00, 0.00 μB/atom
Electronic total energy readings, ordered: -3.492, -3.167, -4.331, -3.594, -3.914, -3.294, -3.564, -3.490, -3.485, -3.179, -3.700, -3.308 eV/atom